First-principles (GGA-PBE) data for a geometry-optimized MgBiI6 structure, as listed in Alexandria.

Lattice parameters (Å, degrees): 7.552 7.546 7.856 61.18 61.34 59.94
Element x y z (fractional)
Mg (0.000, 0.000, 0.000)
Bi (0.500, 0.500, 0.500)
I (0.064, 0.418, 0.757)
I (0.761, 0.063, 0.759)
I (0.583, 0.240, 0.242)
I (0.239, 0.937, 0.241)
I (0.936, 0.582, 0.243)
I (0.417, 0.760, 0.758)

Properties
Density, kg/m³: 5125
SG: P-1 (2)
ΔE_f (raw), meV per atom: -465
Total moment, μB/atom: 0.0001